Entry 1:
Density functional theory data (PBE-GGA) for an optimized crystal structure of Rb3Li2Br4Cl2.

Computed properties:
**E_form (uncorrected)**: -1532 meV/atom
**Symmetry**: I4/mmm (139)
**Total magnetic moment**: 0.00 μB/f.u.
**N(E_F)**: 6.59 states/eV/f.u.

Cell lengths 14.6750, 14.6750, 14.6750 Å; angles 160.15, 160.15, 28.21 degrees
Positions (direct):
Rb1 0.0000 0.0000 0.0000
Rb2 0.1866 0.1866 0.0000
Rb3 0.8134 0.8134 0.0000
Li1 0.3837 0.3837 0.0000
Li2 0.6163 0.6163 0.0000
Br1 0.0868 0.5868 0.5000
Br2 0.4132 0.9132 0.5000
Br3 0.5868 0.0868 0.5000
Br4 0.9132 0.4132 0.5000
Cl1 0.3021 0.3021 0.0000
Cl2 0.6979 0.6979 0.0000

=====

Entry 2:
Density functional theory data (PBE-GGA) for an optimized crystal structure of PrGdThCd.

Computed properties:
**Calculated formation energy**: 0.08 eV/atom
**Symmetry**: F-43m (216)
**Total magnetic moment**: 7.99 μB/f.u.
**N(E_F)**: 5.90 states/eV/f.u.

Cell lengths 5.5650, 5.5650, 5.5650 Å; angles 60.00, 60.00, 60.00 degrees
Positions (direct):
Pr1 0.0000 0.0000 0.0000
Gd1 0.5000 0.5000 0.5000
Th1 0.2500 0.2500 0.2500
Cd1 0.7500 0.7500 0.7500

=====

Entry 3:
Density functional theory data (PBE-GGA) for an optimized crystal structure of CsBe2VCl8.

Computed properties:
**E_form (uncorrected)**: -1432 meV/atom
**Symmetry**: R-3 (148)
**Total magnetic moment**: 2.00 μB/f.u.
**N(E_F)**: 4.56 states/eV/f.u.

Cell lengths 10.7524, 10.7524, 10.7524 Å; angles 32.53, 32.53, 32.53 degrees
Positions (direct):
Cs1 0.0000 0.0000 0.0000
Be1 0.2342 0.2342 0.2342
Be2 0.7658 0.7658 0.7658
V1 0.5000 0.5000 0.5000
Cl1 0.1218 0.7684 0.4717
Cl2 0.2316 0.5283 0.8782
Cl3 0.2986 0.2986 0.2986
Cl4 0.4717 0.1218 0.7684
Cl5 0.5283 0.8782 0.2316
Cl6 0.7014 0.7014 0.7014
Cl7 0.7684 0.4717 0.1218
Cl8 0.8782 0.2316 0.5283

=====

Entry 4:
Density functional theory data (PBE-GGA) for an optimized crystal structure of CeMg2SnPt4.

Computed properties:
**Calculated formation energy**: -0.79 eV/atom
**Symmetry**: R-3m (166)
**Total magnetic moment**: 0.18 μB/f.u.
**N(E_F)**: 5.11 states/eV/f.u.

Cell lengths 8.8475, 8.8475, 8.8475 Å; angles 29.80, 29.80, 29.80 degrees
Positions (direct):
Ce1 0.0000 0.0000 0.0000
Mg1 0.2443 0.2443 0.2443
Mg2 0.7557 0.7557 0.7557
Sn1 0.5000 0.5000 0.5000
Pt1 0.1256 0.1256 0.1256
Pt2 0.3929 0.3929 0.3929
Pt3 0.6071 0.6071 0.6071
Pt4 0.8744 0.8744 0.8744

=====

Entry 5:
Density functional theory data (PBE-GGA) for an optimized crystal structure of HfTaBe17.

Computed properties:
**Calculated formation energy**: -0.21 eV/atom
**Symmetry**: R3m (160)
**Total magnetic moment**: 0.00 μB/f.u.
**N(E_F)**: 2.30 states/eV/f.u.

Cell lengths 5.5938, 5.5938, 5.5938 Å; angles 82.95, 82.95, 82.95 degrees
Positions (direct):
Hf1 0.0000 0.0000 0.0000
Ta1 0.6767 0.6767 0.6767
Be1 0.0467 0.3401 0.6291
Be2 0.0467 0.6291 0.3401
Be3 0.1794 0.6827 0.6827
Be4 0.2431 0.2431 0.2431
Be5 0.3401 0.0467 0.6291
Be6 0.3395 0.3395 0.8383
Be7 0.3401 0.6291 0.0467
Be8 0.3395 0.8383 0.3395
Be9 0.4376 0.4376 0.4376
Be10 0.5006 0.9919 0.9919
Be11 0.6291 0.0467 0.3401
Be12 0.6291 0.3401 0.0467
Be13 0.6827 0.1794 0.6827
Be14 0.6827 0.6827 0.1794
Be15 0.8383 0.3395 0.3395
Be16 0.9919 0.5006 0.9919
Be17 0.9919 0.9919 0.5006

=====

Entry 6:
Density functional theory data (PBE-GGA) for an optimized crystal structure of CePm2PrDy5.

Computed properties:
**Calculated formation energy**: 0.26 eV/atom
**Symmetry**: I4/mcm (140)
**Total magnetic moment**: 1.05 μB/f.u.
**N(E_F)**: 14.79 states/eV/f.u.

Cell lengths 9.9120, 9.9120, 9.9120 Å; angles 127.89, 127.89, 76.80 degrees
Positions (direct):
Ce1 0.2500 0.7500 0.5000
Ce2 0.7500 0.2500 0.5000
Pm1 0.1197 0.6197 0.7393
Pm2 0.3803 0.1197 0.5000
Pm3 0.6197 0.8803 0.5000
Pm4 0.8803 0.3803 0.2607
Pr1 0.2500 0.2500 0.0000
Pr2 0.7500 0.7500 0.0000
Dy1 0.0000 0.0000 0.0000
Dy2 0.0643 0.1596 0.5000
Dy3 0.1596 0.6596 0.0953
Dy4 0.3404 0.4357 0.5000
Dy5 0.4357 0.9357 0.0953
Dy6 0.5000 0.5000 0.0000
Dy7 0.5643 0.0643 0.9047
Dy8 0.6596 0.5643 0.5000
Dy9 0.8404 0.3404 0.9047
Dy10 0.9357 0.8404 0.5000

=====

Entry 7:
Density functional theory data (PBE-GGA) for an optimized crystal structure of YEr2PaSe4.

Computed properties:
**E_form (uncorrected)**: -1573 meV/atom
**Symmetry**: P2/m (10)
**Total magnetic moment**: 0.39 μB/f.u.
**N(E_F)**: 6.85 states/eV/f.u.

Cell lengths 7.0353, 4.0015, 7.0772 Å; angles 90.00, 108.73, 90.00 degrees
Positions (direct):
Y1 0.0000 0.0000 0.0000
Er1 0.0000 0.5000 0.5000
Er2 0.5000 0.0000 0.5000
Pa1 0.5000 0.5000 0.0000
Se1 0.2461 0.0000 0.7430
Se2 0.2509 0.5000 0.2555
Se3 0.7491 0.5000 0.7445
Se4 0.7539 0.0000 0.2570

=====

Entry 8:
Density functional theory data (PBE-GGA) for an optimized crystal structure of LaHSe2.

Computed properties:
**Distance to the lowest polymorph of the same formula**: 2.55 eV per formula unit
**Symmetry**: R-3m (166)
**Total magnetic moment**: 0.00 μB/f.u.
**N(E_F)**: 1.96 states/eV/f.u.

Cell lengths 5.3810, 5.3810, 5.3810 Å; angles 51.07, 51.07, 51.07 degrees
Positions (direct):
La1 0.0000 0.0000 0.0000
H1 0.5000 0.5000 0.5000
Se1 0.2289 0.2289 0.2289
Se2 0.7711 0.7711 0.7711

=====

Entry 9:
Density functional theory data (PBE-GGA) for an optimized crystal structure of Al2SeO.

Computed properties:
**Distance to the lowest polymorph of the same formula**: 3.03 eV per formula unit
**E_form (uncorrected)**: -236 meV/atom
**Symmetry**: Fm-3m (225)
**Total magnetic moment**: 0.00 μB/f.u.
**N(E_F)**: 1.28 states/eV/f.u.

Cell lengths 4.3542, 4.3542, 4.3542 Å; angles 60.00, 60.00, 60.00 degrees
Positions (direct):
Al1 0.2500 0.2500 0.2500
Al2 0.7500 0.7500 0.7500
Se1 0.0000 0.0000 0.0000
O1 0.5000 0.5000 0.5000

=====

Entry 10:
Density functional theory data (PBE-GGA) for an optimized crystal structure of KCu4Si.

Computed properties:
**E_form (uncorrected)**: 370 meV/atom
**Symmetry**: F-43m (216)
**Total magnetic moment**: 0.00 μB/f.u.
**N(E_F)**: 3.99 states/eV/f.u.

Cell lengths 5.1022, 5.1022, 5.1022 Å; angles 60.00, 60.00, 60.00 degrees
Positions (direct):
K1 0.0000 0.0000 0.0000
Cu1 0.3767 0.3767 0.3767
Cu2 0.3767 0.3767 0.8699
Cu3 0.3767 0.8699 0.3767
Cu4 0.8699 0.3767 0.3767
Si1 0.7500 0.7500 0.7500

=====

Entry 11:
Density functional theory data (PBE-GGA) for an optimized crystal structure of YSiI2N.

Computed properties:
**Distance to the lowest polymorph of the same formula**: 1.63 eV per formula unit
**E_form (uncorrected)**: 311 meV/atom
**Symmetry**: P4/mmm (123)
**Total magnetic moment**: 0.00 μB/f.u.
**N(E_F)**: 3.38 states/eV/f.u.

Cell lengths 6.1338, 6.1338, 4.0940 Å; angles 90.00, 90.00, 90.00 degrees
Positions (direct):
Y1 0.0000 0.0000 0.0000
Si1 0.5000 0.5000 0.5000
I1 0.0000 0.5000 0.0000
I2 0.5000 0.0000 0.0000
N1 0.0000 0.0000 0.5000

=====

Entry 12:
Density functional theory data (PBE-GGA) for an optimized crystal structure of InCo2As.

Computed properties:
**Calculated formation energy**: 0.12 eV/atom
**Distance to the lowest polymorph of the same formula**: 0.35 eV per formula unit
**Symmetry**: P4mm (99)
**Total magnetic moment**: 1.30 μB/f.u.
**N(E_F)**: 4.91 states/eV/f.u.

Cell lengths 3.1916, 3.1916, 5.9895 Å; angles 90.00, 90.00, 90.00 degrees
Positions (direct):
In1 0.0000 0.0000 0.0000
Co1 0.0000 0.0000 0.5087
Co2 0.5000 0.5000 0.7622
As1 0.5000 0.5000 0.3743